This record from Alexandria via LeMat-Bulk describes an optimized crystal structure of LiFe2W. The functional is PBE.

Cell: 2.543 4.001 5.070 Å, 90.00 101.54 90.00°
Fractional positions:
Li1 0.000 0.000 0.000
Fe1 0.256 0.500 0.759
Fe2 0.744 0.500 0.241
W1 0.500 0.000 0.500

Values from the calculation:
- Energy relative to the elements: 327 meV/atom



This record from Alexandria via LeMat-Bulk describes an optimized crystal structure of Pa4W. The functional is PBE.

Cell: 5.290 5.290 5.290 Å, 90.00 90.00 90.00°
Fractional positions:
Pa1 0.000 0.000 0.000
Pa2 0.000 0.500 0.500
Pa3 0.500 0.000 0.500
Pa4 0.500 0.500 0.000
W1 0.500 0.500 0.500

Values from the calculation:
- Energy relative to the elements: 931 meV/atom



This record from Alexandria via LeMat-Bulk describes an optimized crystal structure of TaTiAlIr. The functional is PBE.

Cell: 6.334 6.334 6.334 Å, 90.00 90.00 90.00°
Fractional positions:
Ta1 0.000 0.000 0.000
Ta2 0.000 0.500 0.500
Ta3 0.500 0.000 0.500
Ta4 0.500 0.500 0.000
Ti1 0.250 0.250 0.250
Ti2 0.250 0.750 0.750
Ti3 0.750 0.250 0.750
Ti4 0.750 0.750 0.250
Al1 0.000 0.000 0.500
Al2 0.000 0.500 0.000
Al3 0.500 0.000 0.000
Al4 0.500 0.500 0.500
Ir1 0.250 0.250 0.750
Ir2 0.250 0.750 0.250
Ir3 0.750 0.250 0.250
Ir4 0.750 0.750 0.750

Values from the calculation:
- Energy relative to the elements: -459 meV/atom



This record from Alexandria via LeMat-Bulk describes an optimized crystal structure of DyPuMnZn. The functional is PBE.

Cell: 7.083 7.083 7.083 Å, 90.00 90.00 90.00°
Fractional positions:
Dy1 0.000 0.000 0.000
Dy2 0.000 0.500 0.500
Dy3 0.500 0.000 0.500
Dy4 0.500 0.500 0.000
Pu1 0.000 0.000 0.500
Pu2 0.000 0.500 0.000
Pu3 0.500 0.000 0.000
Pu4 0.500 0.500 0.500
Mn1 0.250 0.250 0.750
Mn2 0.250 0.750 0.250
Mn3 0.750 0.250 0.250
Mn4 0.750 0.750 0.750
Zn1 0.250 0.250 0.250
Zn2 0.250 0.750 0.750
Zn3 0.750 0.250 0.750
Zn4 0.750 0.750 0.250

Values from the calculation:
- Energy relative to the elements: 203 meV/atom



This record from Alexandria via LeMat-Bulk describes an optimized crystal structure of In12Bi5Te3. The functional is PBE.

Cell: 15.775 15.775 15.775 Å, 109.47 109.47 109.47°
Fractional positions:
In1 0.065 0.228 0.149
In2 0.065 0.337 0.916
In3 0.079 0.728 0.663
In4 0.079 0.851 0.416
In5 0.084 0.649 0.421
In6 0.084 0.935 0.663
In7 0.149 0.065 0.228
In8 0.149 0.584 0.921
In9 0.163 0.228 0.579
In10 0.163 0.435 0.584
In11 0.228 0.149 0.065
In12 0.228 0.579 0.163
In13 0.272 0.337 0.921
In14 0.272 0.435 0.351
In15 0.337 0.916 0.065
In16 0.337 0.921 0.272
In17 0.351 0.272 0.435
In18 0.351 0.579 0.916
In19 0.416 0.079 0.851
In20 0.416 0.837 0.565
In21 0.421 0.084 0.649
In22 0.421 0.837 0.772
In23 0.435 0.351 0.272
In24 0.435 0.584 0.163
In25 0.565 0.416 0.837
In26 0.565 0.649 0.728
In27 0.579 0.163 0.228
In28 0.579 0.916 0.351
In29 0.584 0.163 0.435
In30 0.584 0.921 0.149
In31 0.649 0.421 0.084
In32 0.649 0.728 0.565
In33 0.663 0.079 0.728
In34 0.663 0.084 0.935
In35 0.728 0.565 0.649
In36 0.728 0.663 0.079
In37 0.772 0.421 0.837
In38 0.772 0.851 0.935
In39 0.837 0.565 0.416
In40 0.837 0.772 0.421
In41 0.851 0.416 0.079
In42 0.851 0.935 0.772
In43 0.916 0.065 0.337
In44 0.916 0.351 0.579
In45 0.921 0.149 0.584
In46 0.921 0.272 0.337
In47 0.935 0.663 0.084
In48 0.935 0.772 0.851
Bi1 0.000 0.000 0.000
Bi2 0.000 0.000 0.500
Bi3 0.000 0.500 0.000
Bi4 0.000 0.500 0.500
Bi5 0.125 0.750 0.875
Bi6 0.125 0.875 0.250
Bi7 0.250 0.125 0.875
Bi8 0.250 0.625 0.375
Bi9 0.375 0.250 0.625
Bi10 0.375 0.625 0.750
Bi11 0.500 0.000 0.000
Bi12 0.500 0.000 0.500
Bi13 0.500 0.500 0.000
Bi14 0.500 0.500 0.500
Bi15 0.625 0.375 0.250
Bi16 0.625 0.750 0.375
Bi17 0.750 0.375 0.625
Bi18 0.750 0.875 0.125
Bi19 0.875 0.125 0.750
Bi20 0.875 0.250 0.125
Te1 0.125 0.250 0.375
Te2 0.125 0.375 0.750
Te3 0.250 0.375 0.125
Te4 0.250 0.875 0.625
Te5 0.375 0.125 0.250
Te6 0.375 0.750 0.125
Te7 0.625 0.250 0.875
Te8 0.625 0.875 0.750
Te9 0.750 0.125 0.375
Te10 0.750 0.625 0.875
Te11 0.875 0.625 0.250
Te12 0.875 0.750 0.625

Values from the calculation:
- Calculated total energy: -3.003 eV/atom



This record from Alexandria via LeMat-Bulk describes an optimized crystal structure of Y2AgBr. The functional is PBE.

Cell: 4.460 5.746 8.005 Å, 90.00 90.00 90.00°
Fractional positions:
Y1 0.000 0.000 0.241
Y2 0.000 0.000 0.759
Y3 0.500 0.500 0.259
Y4 0.500 0.500 0.741
Ag1 0.000 0.500 0.000
Ag2 0.500 0.000 0.500
Br1 0.000 0.500 0.500
Br2 0.500 0.000 0.000

Values from the calculation:
- Calculated total energy: -4.792 eV/atom



Q: What is the formula in the second record?
A: Pa4W



Please write out number 2 again, unchanged.
This record from Alexandria via LeMat-Bulk describes an optimized crystal structure of Pa4W. The functional is PBE.

Cell: 5.290 5.290 5.290 Å, 90.00 90.00 90.00°
Fractional positions:
Pa1 0.000 0.000 0.000
Pa2 0.000 0.500 0.500
Pa3 0.500 0.000 0.500
Pa4 0.500 0.500 0.000
W1 0.500 0.500 0.500

Values from the calculation:
- Energy relative to the elements: 931 meV/atom